No. 1
A relaxed structure of SrPPd2S4, computed with GGA-PBE.

POSCAR file:
```
SrPPd2S4
1.0
6.5759 0.0000 0.0000
3.2880 4.9722 -0.8481
3.2880 -0.2922 5.0355
Sr P Pd S
1 1 2 4
Direct
0.0000 0.0000 0.0000 Sr
0.0000 0.5000 0.5000 P
0.5000 0.6832 0.3168 Pd
0.5000 0.3168 0.6832 Pd
0.6317 0.5289 0.8462 S
0.3683 0.1538 0.4711 S
0.0067 0.4711 0.1538 S
0.9933 0.8462 0.5289 S
```

- formation energy (no corrections) (eV per atom) = -0.67



No. 2
A relaxed structure of BaGa2Pd5, computed with GGA-PBE.

POSCAR file:
```
BaGa2Pd5
1.0
-0.5903 -3.0680 2.5886
2.7563 -5.4400 -2.6392
5.8912 -1.6034 2.6228
Ba Ga Pd
1 2 5
Direct
0.0000 0.0000 0.0000 Ba
0.7646 0.7354 0.7354 Ga
0.2354 0.2646 0.2646 Ga
0.0000 0.5000 0.5000 Pd
0.6497 0.5427 0.1579 Pd
0.3503 0.4573 0.8421 Pd
0.3503 0.8421 0.4573 Pd
0.6497 0.1579 0.5427 Pd
```

- formation enthalpy at 0 K (eV/atom) = -0.62



No. 3
A relaxed structure of Nd2ThGa4, computed with GGA-PBE.

POSCAR file:
```
Nd2ThGa4
1.0
-0.7243 0.6611 -4.0867
3.9672 -1.5446 -0.9530
-5.1979 -8.2660 1.7450
Nd Ga Th
2 4 1
Direct
0.8161 0.8161 0.6322 Nd
0.1839 0.1839 0.3678 Nd
0.6416 0.6416 0.2832 Ga
0.3584 0.3584 0.7168 Ga
0.0655 0.5655 0.1310 Ga
0.9345 0.4345 0.8690 Ga
0.5000 0.0000 0.0000 Th
```

- formation enthalpy at 0 K (eV/atom) = -0.63



No. 4
A relaxed structure of CaPCl2, computed with GGA-PBE.

POSCAR file:
```
CaPCl2
1.0
-0.7523 2.9880 2.6555
-4.3372 -1.3993 0.3458
1.1675 -2.7675 3.4448
Ca Cl P
1 2 1
Direct
0.5000 0.0000 0.5000 Ca
0.0000 0.0000 0.0000 Cl
0.0000 0.5000 0.5000 Cl
0.5000 0.5000 0.0000 P
```

- formation energy (no corrections) (eV per atom) = -0.67